BeCrSiO2 | PBE with a Hubbard U | optimized geometry

POSCAR file:
```
BeCrSiO2
1.0
3.452 0.000 0.000
0.000 3.452 0.000
0.000 0.000 5.051
Be Cr Si O
1 1 1 2
Cartesian
0.000 0.000 0.000 Be
1.726 1.726 2.526 Cr
0.000 0.000 2.526 Si
0.000 1.726 0.000 O
1.726 0.000 0.000 O
```

Results
As for the raw total energy: -27.1 eV/cell. The density of states at the Fermi level comes out at 3.4 states/eV/f.u.